No. 1
An optimized crystal structure of ZnTePO, computed with GGA-PBE.

a = 4.433 Å, b = 5.834 Å, c = 5.690 Å
α = 90.00°, β = 90.00°, γ = 90.00°
Element x y z (fractional)
O1 0.000 0.323 0.383
O2 0.000 0.677 0.883
P1 0.500 0.788 0.428
P2 0.500 0.212 0.928
Te1 0.500 0.240 0.429
Te2 0.500 0.760 0.929
Zn1 0.000 0.346 0.014
Zn2 0.000 0.654 0.514

Calculated values
Distance to the lowest polymorph of the same formula, meV per atom: 0
Space-group type: Pmc2_1, No. 26
Total energy, eV/atom: -3.9926

---

No. 2
An optimized crystal structure of YGePd2, computed with GGA-PBE.

a = 7.377 Å, b = 7.175 Å, c = 5.617 Å
α = 90.00°, β = 90.00°, γ = 90.00°
Element x y z (fractional)
Ge1 0.121 0.250 0.141
Ge2 0.621 0.250 0.359
Ge3 0.379 0.750 0.641
Ge4 0.879 0.750 0.859
Pd1 0.818 0.052 0.088
Pd2 0.818 0.448 0.088
Pd3 0.318 0.052 0.412
Pd4 0.318 0.448 0.412
Pd5 0.682 0.552 0.588
Pd6 0.682 0.948 0.588
Pd7 0.182 0.552 0.912
Pd8 0.182 0.948 0.912
Y1 0.526 0.750 0.142
Y2 0.026 0.750 0.358
Y3 0.974 0.250 0.642
Y4 0.474 0.250 0.858

Calculated values
Total magnetization, μB/atom: 0.000
Space-group type: Pnma, No. 62
Total energy, eV/atom: -6.2759

---

No. 3
An optimized crystal structure of PmHoZr, computed with GGA-PBE.

a = 5.238 Å, b = 5.238 Å, c = 5.238 Å
α = 60.00°, β = 60.00°, γ = 60.00°
Site moments in Bohr magnetons follow the coordinates.
Element x y z (fractional)
Ho1 0.250 0.250 0.250  0.28
Pm1 0.750 0.750 0.750  0.18
Zr1 0.000 0.000 0.000  0.81

Calculated values
Total magnetization, μB/atom: 0.585
Distance to the lowest polymorph of the same formula, meV per atom: 0
Space-group type: F-43m, No. 216
Total energy, eV/atom: -5.1718
Formation energy from the elements, eV/atom: 0.78